(1)
Entry from the Alexandria database: a relaxed structure of HS2I (PBEsol).

Lattice parameters (Å, degrees): 6.929 6.929 6.929 138.72 138.72 59.80
Fractional positions:
H 0.375 0.625 0.750
H 0.625 0.375 0.250
S 0.000 0.500 0.500
S 0.500 0.000 0.000
S 0.500 0.500 0.000
S 0.500 0.500 0.500
I 0.125 0.875 0.250
I 0.875 0.125 0.750

Output
V ... 17.92 Å³ per atom
Symmetry ... I4_1/amd (141)
DFT total energy ... -2.75 eV/atom

=====

(2)
Entry from the Alexandria database: a relaxed structure of MgRe (PBEsol).

Lattice parameters (Å, degrees): 3.055 3.055 7.208 90.00 90.00 90.00
Fractional positions:
Mg 0.250 0.250 0.152
Mg 0.750 0.750 0.848
Re 0.250 0.250 0.596
Re 0.750 0.750 0.404

Output
Distance to the lowest polymorph of the same formula ... 0.000 eV/atom
Formation energy ... 0.1020 eV per atom
V ... 16.81 Å³ per atom
Symmetry ... P4/nmm (129)
DFT total energy ... -7.42 eV/atom

=====

| no. | density of states at the Fermi level (states/eV/cell) |
| --- | --- |
| 1 | 7.02 |
| 2 | 1.37 |